Pm7Nd2Er3, relaxed, DFT PBE-GGA; M_tot = 0.00 μB per formula unit; energy relative to the elements = 0.79 eV per formula unit; E = -55.68 eV per formula unit
1.0
3.5680 0.0000 0.0000
0.0000 6.3986 0.8434
0.0000 2.3100 18.0160
Pm Nd Er
7 2 3
direct
0.5000 0.2383 0.5036
0.5000 0.7617 0.4964
0.0000 0.5582 0.1641
0.0000 0.0000 0.0000
0.0000 0.4418 0.8359
0.5000 0.9418 0.8303
0.5000 0.0582 0.1697
0.5000 0.6118 0.3290
0.5000 0.3882 0.6710
0.5000 0.5000 0.0000
0.0000 0.1127 0.3414
0.0000 0.8873 0.6586